# TbNd4Cd3

An optimized crystal structure of TbNd4Cd3 (GGA-PBE, Alexandria via LeMat-Bulk).

Cell and atoms, written as POSCAR:
```
TbNd4Cd3
1.0
3.8069 0.0000 0.0000
0.0000 5.5637 0.0000
0.0000 0.0000 11.2436
Tb Nd Cd
1 4 3
direct
0.0000 0.0000 0.0000 Tb
0.5000 0.0000 0.2622 Nd
0.5000 0.0000 0.7378 Nd
0.5000 0.5000 0.0000 Nd
0.5000 0.5000 0.5000 Nd
0.0000 0.0000 0.5000 Cd
0.0000 0.5000 0.2468 Cd
0.0000 0.5000 0.7532 Cd
```

Summary:
Space-group type: Pmmm (47)
DOS at the Fermi energy in states/eV/f.u.: 11.8
Volume in Å³ per cell: 238
ΔE_f in eV per atom: -0.19
Spin magnetization in μB/f.u.: 0.2

---

# Tb7Nd12Cd

An optimized crystal structure of Tb7Nd12Cd (GGA-PBE, Alexandria via LeMat-Bulk).

Cell and atoms, written as POSCAR:
```
Tb7Nd12Cd
1.0
-5.7885 5.7885 5.7885
5.7885 -5.7885 5.7885
5.7885 5.7885 -5.7885
Tb Nd Cd
7 12 1
direct
0.0000 0.0000 0.5000 Tb
0.0000 0.5000 0.0000 Tb
0.0000 0.5000 0.5000 Tb
0.5000 0.0000 0.0000 Tb
0.5000 0.0000 0.5000 Tb
0.5000 0.5000 0.0000 Tb
0.5000 0.5000 0.5000 Tb
0.0018 0.7579 0.2439 Nd
0.2421 0.2439 0.4860 Nd
0.2421 0.7561 0.9982 Nd
0.2439 0.0018 0.7579 Nd
0.2439 0.4860 0.2421 Nd
0.4860 0.2421 0.2439 Nd
0.5140 0.7579 0.7561 Nd
0.7561 0.5140 0.7579 Nd
0.7561 0.9982 0.2421 Nd
0.7579 0.2439 0.0018 Nd
0.7579 0.7561 0.5140 Nd
0.9982 0.2421 0.7561 Nd
0.0000 0.0000 0.0000 Cd
```

Summary:
Space-group type: Im-3 (204)
DOS at the Fermi energy in states/eV/f.u.: 28.0
Volume in Å³ per cell: 776
Relative energy among the computed polymorphs in meV/atom: 610
ΔE_f in eV per atom: 0.66
Spin magnetization in μB/f.u.: 0.0

---

# Tb9Nd4Cd11

An optimized crystal structure of Tb9Nd4Cd11 (GGA-PBE, Alexandria via LeMat-Bulk).

Cell and atoms, written as POSCAR:
```
Tb9Nd4Cd11
1.0
8.0440 -11.4947 0.0000
8.0440 11.4947 0.0000
0.0000 0.0000 3.5573
Tb Nd Cd
9 4 11
direct
0.0000 0.0000 0.0000 Tb
0.1149 0.6548 0.0000 Tb
0.2934 0.4853 0.0000 Tb
0.3452 0.8851 0.0000 Tb
0.4853 0.2934 0.0000 Tb
0.5147 0.7066 0.0000 Tb
0.6548 0.1149 0.0000 Tb
0.7066 0.5147 0.0000 Tb
0.8851 0.3452 0.0000 Tb
0.0832 0.2502 0.0000 Nd
0.2502 0.0832 0.0000 Nd
0.7498 0.9168 0.0000 Nd
0.9168 0.7498 0.0000 Nd
0.0896 0.4547 0.5000 Cd
0.1310 0.8690 0.5000 Cd
0.2955 0.2955 0.5000 Cd
0.3160 0.6840 0.5000 Cd
0.4547 0.0896 0.5000 Cd
0.5000 0.5000 0.5000 Cd
0.5453 0.9104 0.5000 Cd
0.6840 0.3160 0.5000 Cd
0.7045 0.7045 0.5000 Cd
0.8690 0.1310 0.5000 Cd
0.9104 0.5453 0.5000 Cd
```

Summary:
Space-group type: Cmmm (65)
DOS at the Fermi energy in states/eV/f.u.: 28.8
Volume in Å³ per cell: 658
ΔE_f in eV per atom: -0.24
Spin magnetization in μB/f.u.: 0.4

---

# Tb3NdCd4

An optimized crystal structure of Tb3NdCd4 (GGA-PBE, Alexandria via LeMat-Bulk).

Cell and atoms, written as POSCAR:
```
Tb3NdCd4
1.0
5.3241 0.0000 0.0000
0.0000 5.3241 0.0000
0.0000 0.0000 7.6432
Tb Nd Cd
3 1 4
direct
0.0000 0.0000 0.0000 Tb
0.0000 0.0000 0.5000 Tb
0.5000 0.5000 0.0000 Tb
0.5000 0.5000 0.5000 Nd
0.0000 0.5000 0.2431 Cd
0.0000 0.5000 0.7569 Cd
0.5000 0.0000 0.2431 Cd
0.5000 0.0000 0.7569 Cd
```

Summary:
Space-group type: P4/mmm (123)
DOS at the Fermi energy in states/eV/f.u.: 9.5
Volume in Å³ per cell: 217
ΔE_f in eV per atom: -0.32
Spin magnetization in μB/f.u.: 1.1

---

# Tb2Nd6Cd

An optimized crystal structure of Tb2Nd6Cd (GGA-PBE, Alexandria via LeMat-Bulk).

Cell and atoms, written as POSCAR:
```
Tb2Nd6Cd
1.0
5.7331 -2.5489 0.0000
5.7331 2.5489 0.0000
-3.7641 0.0000 10.0953
Tb Nd Cd
2 6 1
direct
0.1540 0.1540 0.2134 Tb
0.8460 0.8460 0.7866 Tb
0.1678 0.1678 0.5524 Nd
0.1891 0.1891 0.8916 Nd
0.4895 0.4895 0.3210 Nd
0.5105 0.5105 0.6790 Nd
0.8109 0.8109 0.1084 Nd
0.8322 0.8322 0.4476 Nd
0.5000 0.5000 0.0000 Cd
```

Summary:
Space-group type: C2/m (12)
DOS at the Fermi energy in states/eV/f.u.: 13.5
Volume in Å³ per cell: 295
ΔE_f in eV per atom: -0.02
Spin magnetization in μB/f.u.: 0.0

---

# Tb12Nd6Cd

An optimized crystal structure of Tb12Nd6Cd (GGA-PBE, Alexandria via LeMat-Bulk).

Cell and atoms, written as POSCAR:
```
Tb12Nd6Cd
1.0
5.9974 3.4626 5.0097
-5.9974 3.4626 5.0097
0.0000 -6.9252 5.0097
Tb Nd Cd
12 6 1
direct
0.0368 0.2796 0.9360 Tb
0.0640 0.9632 0.7204 Tb
0.1392 0.3183 0.4836 Tb
0.2796 0.9360 0.0368 Tb
0.3183 0.4836 0.1392 Tb
0.4836 0.1392 0.3183 Tb
0.5164 0.8608 0.6817 Tb
0.6817 0.5164 0.8608 Tb
0.7204 0.0640 0.9632 Tb
0.8608 0.6817 0.5164 Tb
0.9360 0.0368 0.2796 Tb
0.9632 0.7204 0.0640 Tb
0.2020 0.5940 0.7631 Nd
0.2369 0.7980 0.4060 Nd
0.4060 0.2369 0.7980 Nd
0.5940 0.7631 0.2020 Nd
0.7631 0.2020 0.5940 Nd
0.7980 0.4060 0.2369 Nd
0.5000 0.5000 0.5000 Cd
```

Summary:
Space-group type: R-3 (148)
DOS at the Fermi energy in states/eV/f.u.: 26.9
Volume in Å³ per cell: 624
ΔE_f in eV per atom: 0.10
Spin magnetization in μB/f.u.: 0.0

---

Question: What is the spin magnetization in the first record?
Answer: 0.2 μB/f.u.

---

Question: spin magnetization of number 4 (Tb3NdCd4)?
Answer: 1.1 μB/f.u.